# K2ZrNp2Te6

A geometry-optimized K2ZrNp2Te6 structure (PBE, the Alexandria database).

abc: 7.5279 7.5279 8.8594
angles: 98.46 98.46 119.74
Positions (direct):
K 0.1702 0.8298 0.0000
K 0.8298 0.1702 0.0000
Zr 0.0000 0.0000 0.5000
Np 0.3322 0.6678 0.5000
Np 0.6678 0.3322 0.5000
Te 0.0743 0.3904 0.7063
Te 0.2500 0.2500 0.2957
Te 0.3904 0.0743 0.7063
Te 0.6096 0.9257 0.2937
Te 0.7500 0.7500 0.7043
Te 0.9257 0.6096 0.2937


# KO2

A geometry-optimized KO2 structure (PBE, the Alexandria database).

abc: 3.8776 3.8776 7.5082
angles: 105.30 105.30 73.52
Positions (direct):
K 0.1688 0.8312 0.7500
K 0.8312 0.1688 0.2500
O 0.1714 0.4616 0.0532
O 0.4616 0.1714 0.5532
O 0.5384 0.8286 0.4468
O 0.8286 0.5384 0.9468

Values from the calculation:
Offset from the most stable computed form (meV/atom): 21


Number 1: formation energy from raw total energies -0.876 eV/atom. Number 2: formation energy from raw total energies -0.849 eV/atom.